Compound: Er4TmCd2
Source: the Alexandria database
Functional: PBE
Structure: optimized geometry

## Properties
**VASP energy**: -3.28 eV per atom
**Formation energy from the elements**: 0.2233 eV/atom

abc: 5.075 5.075 10.425
angles: 75.91 75.91 60.00
Element x y z (fractional)
Er 0.704 0.704 0.889
Er 0.892 0.892 0.323
Er 0.296 0.296 0.111
Er 0.108 0.108 0.677
Tm 0.500 0.500 0.500
Cd 0.600 0.600 0.200
Cd 0.400 0.400 0.800

=====

Compound: PmOsRu
Source: the Alexandria database
Functional: PBE
Structure: optimized geometry

## Properties
**VASP energy**: -8.58 eV per atom
**Formation energy from the elements**: -0.1599 eV/atom

abc: 5.429 5.429 5.429
angles: 89.44 118.22 122.48
Element x y z (fractional)
Pm 0.250 0.124 0.874
Pm 0.750 0.876 0.126
Os 0.000 0.500 0.500
Os 0.500 0.000 0.500
Ru 0.500 0.500 0.500
Ru 0.000 0.500 0.000

=====

Compound: LaCoCu2
Source: the Alexandria database
Functional: PBE
Structure: optimized geometry

## Properties
**VASP energy**: -4.90 eV per atom
**Formation energy from the elements**: 0.1580 eV/atom

abc: 3.225 3.224 6.491
angles: 90.00 90.00 90.00
Last column: magnetic moment on the atom in μB.
Element x y z (fractional)
Co 0.500 0.500 0.805  1.04
Cu 0.000 0.000 0.997  0.01
Cu 0.500 0.500 0.178  0.00
La 0.000 0.000 0.520  -0.14

=====

Compound: ScMnSn3
Source: the Alexandria database
Functional: PBE
Structure: optimized geometry

## Properties
**VASP energy**: -5.28 eV per atom
**Formation energy from the elements**: 0.2254 eV/atom

abc: 5.003 5.003 5.003
angles: 90.00 90.00 90.00
Last column: magnetic moment on the atom in μB.
Element x y z (fractional)
Sc 0.500 0.500 0.500  0.21
Mn 0.000 0.000 0.000  2.03
Sn 0.000 0.500 0.000  -0.04
Sn 0.000 0.000 0.500  -0.04
Sn 0.500 0.000 0.000  -0.09